Material: NaLi2P
Method: DFT, GGA-PBE
State: relaxed

Cell lengths 4.292, 5.587, 6.058 Å; angles 90.00, 90.00, 90.00 degrees
Element x y z (fractional)
1 Na 0.000 0.000 0.431
2 Na 0.500 0.500 0.569
3 Li 0.000 0.223 0.886
4 Li 0.000 0.777 0.886
5 Li 0.500 0.277 0.114
6 Li 0.500 0.723 0.114
7 P 0.000 0.500 0.213
8 P 0.500 0.000 0.787

## Properties
- Energy relative to the elements: -543 meV per atom
- Volume: 72.6 Å³/f.u.

=====

Material: NaLiP
Method: DFT, GGA-PBE
State: relaxed

Cell lengths 4.633, 4.633, 11.897 Å; angles 90.00, 90.00, 90.00 degrees
Element x y z (fractional)
1 Na 0.000 0.500 0.250
2 Na 0.000 0.500 0.750
3 Na 0.500 0.000 0.750
4 Na 0.500 0.000 0.250
5 Li 0.000 0.500 0.000
6 Li 0.500 0.000 0.000
7 Li 0.500 0.000 0.500
8 Li 0.000 0.500 0.500
9 P 0.000 0.000 0.902
10 P 0.000 0.000 0.098
11 P 0.500 0.500 0.402
12 P 0.500 0.500 0.598

## Properties
- Energy relative to the elements: -410 meV per atom
- Volume: 63.8 Å³/f.u.

=====

Material: NaLiP
Method: DFT, GGA-PBE
State: relaxed

Cell lengths 4.657, 9.706, 6.124 Å; angles 90.00, 109.79, 90.00 degrees
Element x y z (fractional)
1 Na 0.972 0.273 0.284
2 Na 0.972 0.727 0.284
3 Na 0.972 0.773 0.784
4 Na 0.972 0.227 0.784
5 Li 0.464 0.000 0.909
6 Li 0.464 0.500 0.409
7 Li 0.536 0.000 0.400
8 Li 0.536 0.500 0.900
9 P 0.082 0.000 0.502
10 P 0.082 0.500 0.002
11 P 0.024 0.000 0.107
12 P 0.024 0.500 0.607

## Properties
- Energy relative to the elements: -381 meV per atom
- Volume: 65.1 Å³/f.u.

=====

Material: NaLi2P
Method: DFT, GGA-PBE
State: relaxed

Cell lengths 4.284, 4.284, 5.539 Å; angles 67.25, 67.25, 60.00 degrees
Element x y z (fractional)
1 Na 0.489 0.489 0.532
2 Li 0.020 0.020 0.940
3 Li 0.306 0.306 0.082
4 P 0.685 0.685 0.946

## Properties
- Energy relative to the elements: -521 meV per atom
- Volume: 78.8 Å³/f.u.

=====

Material: Na2Li2P
Method: DFT, GGA-PBE
State: relaxed

Cell lengths 4.176, 4.176, 8.723 Å; angles 76.15, 76.15, 60.00 degrees
Element x y z (fractional)
1 Na 0.430 0.430 0.710
2 Na 0.570 0.570 0.290
3 Li 0.686 0.686 0.943
4 Li 0.314 0.314 0.057
5 P 0.000 0.000 0.000

## Properties
- Energy relative to the elements: -341 meV per atom
- Volume: 126.6 Å³/f.u.

=====

Material: NaLi2P
Method: DFT, GGA-PBE
State: relaxed

Cell lengths 4.735, 4.735, 8.704 Å; angles 74.22, 74.22, 90.00 degrees
Element x y z (fractional)
1 P 0.000 0.000 0.000
2 P 0.750 0.250 0.500
3 Li 0.792 0.125 0.250
4 Li 0.958 0.625 0.250
5 Li 0.375 0.208 0.750
6 Li 0.875 0.042 0.750
7 Na 0.500 0.500 0.000
8 Na 0.250 0.750 0.500

## Properties
- Energy relative to the elements: -242 meV per atom
- Volume: 90.1 Å³/f.u.

=====

Material: Na3LiP
Method: DFT, GGA-PBE
State: relaxed

Cell lengths 7.134, 7.134, 7.134 Å; angles 82.99, 121.36, 126.98 degrees
Element x y z (fractional)
1 Na 0.038 0.263 0.731
2 Na 0.038 0.807 0.275
3 Na 0.532 0.763 0.725
4 Na 0.118 0.280 0.338
5 Na 0.532 0.307 0.269
6 Na 0.942 0.780 0.662
7 Li 0.529 0.029 0.000
8 Li 0.029 0.529 0.000
9 P 0.537 0.779 0.259
10 P 0.520 0.279 0.741

## Properties
- Energy relative to the elements: -128 meV per atom
- Volume: 118.9 Å³/f.u.

=====

Material: NaLiP
Method: DFT, GGA-PBE
State: relaxed

Cell lengths 6.018, 4.415, 8.801 Å; angles 90.00, 104.51, 90.00 degrees
Element x y z (fractional)
1 Na 0.135 0.000 0.728
2 Na 0.135 0.500 0.228
3 Na 0.875 0.000 0.003
4 Na 0.875 0.500 0.503
5 Li 0.609 0.000 0.698
6 Li 0.609 0.500 0.198
7 Li 0.432 0.000 0.405
8 Li 0.432 0.500 0.905
9 P 0.414 0.000 0.102
10 P 0.414 0.500 0.602
11 P 0.776 0.000 0.289
12 P 0.776 0.500 0.789

## Properties
- Energy relative to the elements: -398 meV per atom
- Volume: 56.6 Å³/f.u.

=====

Material: NaLiP
Method: DFT, GGA-PBE
State: relaxed

Cell lengths 4.483, 7.614, 7.433 Å; angles 90.00, 120.65, 90.00 degrees
Element x y z (fractional)
1 Na 0.500 0.243 0.500
2 Na 0.500 0.743 0.000
3 Na 0.000 0.168 0.000
4 Na 0.000 0.668 0.500
5 Li 0.235 0.544 0.217
6 Li 0.765 0.544 0.783
7 Li 0.235 0.044 0.717
8 Li 0.765 0.044 0.283
9 P 0.700 0.379 0.182
10 P 0.300 0.379 0.818
11 P 0.700 0.879 0.682
12 P 0.300 0.879 0.318

## Properties
- Energy relative to the elements: -397 meV per atom
- Volume: 54.6 Å³/f.u.

=====

Material: NaLiP
Method: DFT, GGA-PBE
State: relaxed

Cell lengths 4.608, 4.608, 6.017 Å; angles 90.00, 90.00, 90.00 degrees
Element x y z (fractional)
1 Na 0.000 0.500 0.000
2 Na 0.500 0.000 0.000
3 Li 0.000 0.500 0.500
4 Li 0.500 0.000 0.500
5 P 0.500 0.500 0.307
6 P 0.500 0.500 0.693

## Properties
- Energy relative to the elements: -389 meV per atom
- Volume: 63.9 Å³/f.u.

=====

Material: NaLiP
Method: DFT, GGA-PBE
State: relaxed

Cell lengths 7.009, 4.362, 9.818 Å; angles 90.00, 126.68, 90.00 degrees
Element x y z (fractional)
1 Na 0.645 0.000 0.910
2 Na 0.355 0.000 0.090
3 Na 0.645 0.500 0.410
4 Na 0.355 0.500 0.590
5 Li 0.106 0.000 0.725
6 Li 0.894 0.000 0.275
7 Li 0.106 0.500 0.225
8 Li 0.894 0.500 0.775
9 P 0.687 0.000 0.631
10 P 0.313 0.000 0.369
11 P 0.687 0.500 0.131
12 P 0.313 0.500 0.869

## Properties
- Energy relative to the elements: -423 meV per atom
- Volume: 60.2 Å³/f.u.

=====

Material: NaLiP
Method: DFT, GGA-PBE
State: relaxed

Cell lengths 3.996, 5.549, 6.590 Å; angles 114.90, 107.65, 90.00 degrees
Element x y z (fractional)
1 Na 0.288 0.288 0.576
2 Na 0.712 0.712 0.424
3 Li 0.000 0.213 0.000
4 Li 0.000 0.787 0.000
5 P 0.601 0.101 0.202
6 P 0.399 0.899 0.798

## Properties
- Energy relative to the elements: -345 meV per atom
- Volume: 62.5 Å³/f.u.

=====

Material: NaLiP
Method: DFT, GGA-PBE
State: relaxed

Cell lengths 3.467, 3.467, 5.293 Å; angles 109.12, 109.12, 90.00 degrees
Element x y z (fractional)
1 P 0.919 0.919 0.837
2 Na 0.606 0.606 0.213
3 Li 0.325 0.325 0.650

## Properties
- Energy relative to the elements: -238 meV per atom
- Volume: 56.4 Å³/f.u.

=====

Material: Na3LiP
Method: DFT, GGA-PBE
State: relaxed

Cell lengths 5.485, 5.485, 5.485 Å; angles 90.00, 90.00, 90.00 degrees
Last column: magnetic moment on the atom in μB.
Element x y z (fractional)
1 P 0.000 0.000 0.000  0.06
2 Li 0.500 0.500 0.500  0.07
3 Na 0.000 0.500 0.000  0.00
4 Na 0.000 0.000 0.500  0.00
5 Na 0.500 0.000 0.000  0.00

## Properties
- Energy relative to the elements: -21 meV per atom
- Volume: 165.0 Å³/f.u.

=====

Material: NaLiP
Method: DFT, GGA-PBE
State: relaxed

Cell lengths 3.859, 3.859, 7.593 Å; angles 90.00, 90.00, 90.00 degrees
Last column: magnetic moment on the atom in μB.
Element x y z (fractional)
1 Na 0.000 0.500 0.869  0.00
2 Na 0.500 0.000 0.131  0.00
3 P 0.000 0.500 0.273  0.11
4 P 0.500 0.000 0.727  0.11
5 Li 0.500 0.500 0.500  0.01
6 Li 0.000 0.000 0.500  0.01

## Properties
- Energy relative to the elements: -301 meV per atom
- Volume: 56.5 Å³/f.u.

=====

Material: Na2Li2P
Method: DFT, GGA-PBE
State: relaxed

Cell lengths 6.505, 6.505, 5.050 Å; angles 90.00, 90.00, 90.00 degrees
Element x y z (fractional)
1 P 0.000 0.000 0.000
2 P 0.500 0.500 0.000
3 Li 0.334 0.834 0.000
4 Li 0.834 0.666 0.000
5 Li 0.666 0.166 0.000
6 Li 0.166 0.334 0.000
7 Na 0.191 0.691 0.500
8 Na 0.691 0.809 0.500
9 Na 0.809 0.309 0.500
10 Na 0.309 0.191 0.500

## Properties
- Energy relative to the elements: -237 meV per atom
- Volume: 106.9 Å³/f.u.

=====

Material: NaLi3P
Method: DFT, GGA-PBE
State: relaxed

Cell lengths 4.588, 4.588, 4.588 Å; angles 90.00, 90.00, 90.00 degrees
Element x y z (fractional)
1 P 0.500 0.500 0.500
2 Li 0.000 0.500 0.000
3 Li 0.000 0.000 0.500
4 Li 0.500 0.000 0.000
5 Na 0.000 0.000 0.000

## Properties
- Energy relative to the elements: 474 meV per atom
- Volume: 96.6 Å³/f.u.

=====

Material: NaLiP2
Method: DFT, GGA-PBE
State: relaxed

Cell lengths 4.559, 4.559, 4.559 Å; angles 60.00, 60.00, 60.00 degrees
Element x y z (fractional)
1 P 0.250 0.250 0.250
2 P 0.750 0.750 0.750
3 Li 0.000 0.000 0.000
4 Na 0.500 0.500 0.500

## Properties
- Energy relative to the elements: 49 meV per atom
- Volume: 67.0 Å³/f.u.

=====

Material: NaLiP
Method: DFT, GGA-PBE
State: relaxed

Cell lengths 5.827, 7.163, 5.756 Å; angles 90.00, 110.72, 90.00 degrees
Element x y z (fractional)
1 Na 0.000 0.213 0.000
2 Na 0.000 0.787 0.000
3 Na 0.000 0.713 0.500
4 Na 0.000 0.287 0.500
5 Li 0.500 0.187 0.500
6 Li 0.500 0.813 0.500
7 Li 0.500 0.687 0.000
8 Li 0.500 0.313 0.000
9 P 0.660 0.000 0.191
10 P 0.340 0.000 0.809
11 P 0.660 0.500 0.691
12 P 0.340 0.500 0.309

## Properties
- Energy relative to the elements: -442 meV per atom
- Volume: 56.2 Å³/f.u.

=====

Material: NaLi3P
Method: DFT, GGA-PBE
State: relaxed

Cell lengths 4.769, 4.769, 4.769 Å; angles 90.00, 90.00, 90.00 degrees
Element x y z (fractional)
1 P 0.000 0.000 0.000
2 Li 0.000 0.500 0.000
3 Li 0.000 0.000 0.500
4 Li 0.500 0.000 0.000
5 Na 0.500 0.500 0.500

## Properties
- Energy relative to the elements: -355 meV per atom
- Volume: 108.5 Å³/f.u.